Entry 1:
Entry from Alexandria: an optimized crystal structure of UTl2NiS5 (PBE).

Structure (POSCAR):
```
UTl2NiS5
1.0
1.9522 -8.7777 0.0000
1.9522 8.7777 0.0000
0.0000 0.0000 13.4241
U Tl Ni S
2 4 2 10
Direct
0.2023 0.7977 0.5000
0.7977 0.2023 0.0000
0.0643 0.9357 0.1088
0.1095 0.8905 0.8120
0.8905 0.1095 0.3120
0.9357 0.0643 0.6088
0.4134 0.5866 0.8833
0.5866 0.4134 0.3833
0.0571 0.9429 0.4578
0.2873 0.7127 0.8726
0.3080 0.6920 0.1274
0.3490 0.6510 0.4972
0.4750 0.5250 0.7435
0.5250 0.4750 0.2435
0.6510 0.3490 0.9972
0.6920 0.3080 0.6274
0.7127 0.2873 0.3726
0.9429 0.0571 0.9578
```

Properties
Size of the total moment, μB per cell: 0.53
Volume, Å³/atom: 25.56
Formation energy without anion corrections, eV/atom: -0.660



Entry 2:
Entry from Alexandria: an optimized crystal structure of LiHoAl4 (PBE).

Structure (POSCAR):
```
LiHoAl4
1.0
0.0000 3.8736 3.8736
3.8736 0.0000 3.8736
3.8736 3.8736 0.0000
Li Ho Al
1 1 4
Direct
0.0000 0.0000 0.0000
0.7500 0.7500 0.7500
0.3754 0.3754 0.3754
0.3754 0.3754 0.8736
0.3754 0.8736 0.3754
0.8736 0.3754 0.3754
```

Properties
Size of the total moment, μB per cell: 0.00
E_tot, eV per atom: -3.845
Volume, Å³/atom: 19.37